[1]
Computed, not measured: a relaxed structure of YPuAg4 at the PBE level of DFT.

Structure (POSCAR):
```
YPuAg4
1.0
0.0000 4.0399 4.0399
4.0399 0.0000 4.0399
4.0399 4.0399 0.0000
Y Pu Ag
1 1 4
Direct
0.0000 0.0000 0.0000
0.2500 0.2500 0.2500
0.1246 0.6251 0.6251
0.6251 0.1246 0.6251
0.6251 0.6251 0.1246
0.6251 0.6251 0.6251
```

Values from the calculation:
SG: F-43m
Energy of formation: -0.04 eV/atom
Total moment: 6.28 μB per cell
VASP energy: -0.19886 hartree per atom


[2]
Computed, not measured: a relaxed structure of YPuAg at the PBE level of DFT.

Structure (POSCAR):
```
YPuAg
1.0
1.6675 -12.2952 0.0000
1.6675 12.2952 0.0000
0.0000 0.0000 3.3678
Y Pu Ag
2 2 2
Direct
0.1270 0.8730 0.7500
0.8730 0.1270 0.2500
0.2364 0.7636 0.2500
0.7636 0.2364 0.7500
0.4537 0.5463 0.7500
0.5463 0.4537 0.2500
```

Values from the calculation:
SG: Cmcm
Energy of formation: 0.20 eV/atom
Excess energy over the best structure of this formula in the dataset: 167 meV/atom
Total moment: 0.00 μB per cell
VASP energy: -0.28249 hartree per atom


[3]
Computed, not measured: a relaxed structure of Y2PuAg at the PBE level of DFT.

Structure (POSCAR):
```
Y2PuAg
1.0
1.6971 0.9798 11.4355
-1.6971 0.9798 11.4355
0.0000 -1.9597 11.4355
Y Pu Ag
2 1 1
Direct
0.0959 0.0959 0.0959
0.9041 0.9041 0.9041
0.0000 0.0000 0.0000
0.5000 0.5000 0.5000
```

Values from the calculation:
SG: R-3m
Energy of formation: 0.28 eV/atom
Excess energy over the best structure of this formula in the dataset: 317 meV/atom
Total moment: 6.34 μB per cell
VASP energy: -0.26652 hartree per atom


[4]
Computed, not measured: a relaxed structure of Y2PuAg at the PBE level of DFT.

Structure (POSCAR):
```
Y2PuAg
1.0
3.5527 0.0000 0.0000
0.0000 3.5527 0.0000
0.0000 0.0000 8.6421
Y Pu Ag
2 1 1
Direct
0.0000 0.0000 0.2177
0.0000 0.0000 0.7823
0.5000 0.5000 0.5000
0.5000 0.5000 0.0000
```

Values from the calculation:
SG: P4/mmm
Energy of formation: -0.04 eV/atom
Excess energy over the best structure of this formula in the dataset: 0 meV/atom
Total moment: 6.82 μB per cell
VASP energy: -0.27816 hartree per atom


The lowest VASP energy belongs to which entry? YPuAg


total moment of number 1 (YPuAg4)? 6.28 μB per cell


energy of formation of number 2 (YPuAg)? 0.20 eV/atom


What is the energy of formation in the third record? 0.28 eV/atom